(1)
# Mg3Pd12Pt

A geometry-optimized Mg3Pd12Pt structure (PBE, Alexandria via LeMat-Bulk).

For the total energy, the calculation gives -78.96 eV/cell. The calculation puts the magnetization at 0.00 Bohr magnetons per cell.

It has space group P4/mmm (No. 123), with a = 3.955 Å, b = 3.955 Å, c = 15.904 Å, α = 90.00°, β = 90.00° and γ = 90.00°. The inequivalent atoms are Mg at (0.000, 0.000, 0.000), Mg at (0.000, 0.000, 0.250), Pd at (0.000, 0.500, 0.125), Pd at (0.000, 0.500, 0.375), Pd at (0.500, 0.500, 0.000), Pd at (0.500, 0.500, 0.250), Pd at (0.500, 0.500, 0.500) and Pt at (0.000, 0.000, 0.500).

---

(2)
# Mg2Pd3Pt4

A geometry-optimized Mg2Pd3Pt4 structure (PBE, Alexandria via LeMat-Bulk).

For the total energy, the calculation gives -94.44 eV/cell. The calculation puts the magnetization at 0.00 Bohr magnetons per cell.

It has space group C2/m (No. 12), with a = 8.910 Å, b = 3.985 Å, c = 8.402 Å, α = 90.00°, β = 109.36° and γ = 90.00°. The inequivalent atoms are Mg at (0.164, 0.000, 0.221), Pd at (0.000, 0.500, 0.000), Pd at (0.167, 0.000, 0.554), Pt at (0.005, 0.500, 0.668) and Pt at (0.167, 0.000, 0.890).

---

(3)
# Mg4PdPt

A geometry-optimized Mg4PdPt structure (PBE, Alexandria via LeMat-Bulk).

The excess energy over the best structure of this formula in the dataset is 49 meV/atom. The calculation puts the magnetization at 0.00 Bohr magnetons per cell.

It has space group P4/mmm (No. 123), with a = 4.452 Å, b = 4.452 Å, c = 6.287 Å, α = 90.00°, β = 90.00° and γ = 90.00°. The inequivalent atoms are Mg at (0.000, 0.500, 0.246), Pd at (0.000, 0.000, 0.500) and Pt at (0.500, 0.500, 0.000).

---

(4)
# Mg2Pd5Pt4

A geometry-optimized Mg2Pd5Pt4 structure (PBE, Alexandria via LeMat-Bulk).

For the total energy, the calculation gives -57.71 eV/cell. The calculation puts the magnetization at 0.00 Bohr magnetons per cell.

It has space group P-1 (No. 2), with a = 4.811 Å, b = 4.898 Å, c = 7.440 Å, α = 89.60°, β = 83.96° and γ = 80.06°. The inequivalent atoms are Mg at (0.048, 0.402, 0.304), Pd at (0.138, 0.222, 0.947), Pd at (0.407, 0.685, 0.870), Pd at (0.500, 0.500, 0.500), Pt at (0.226, 0.051, 0.585) and Pt at (0.319, 0.860, 0.234).

---

(5)
# Mg6PdPt

A geometry-optimized Mg6PdPt structure (PBE, Alexandria via LeMat-Bulk).

The excess energy over the best structure of this formula in the dataset is 0 meV/atom. The calculation puts the magnetization at 0.00 Bohr magnetons per cell.

It has space group R-3m (No. 166, hexagonal axes), with a = 4.6638 Å, b = 4.6638 Å, c = 22.9517 Å, α = 90.00°, β = 90.00° and γ = 120.00°. The inequivalent atoms are Mg at (0.0000, 0.0000, 0.1242), Mg at (0.0000, 0.0000, 0.2507), Mg at (0.0000, 0.0000, 0.3745), Pd at (0.0000, 0.0000, 0.5000) and Pt at (0.0000, 0.0000, 0.0000).

---

(6)
# Mg4Pd5Pt4

A geometry-optimized Mg4Pd5Pt4 structure (PBE, Alexandria via LeMat-Bulk).

For the total energy, the calculation gives -127.85 eV/cell. The calculation puts the magnetization at 0.00 Bohr magnetons per cell.

It has space group I4/m (No. 87), with a = 10.070 Å, b = 10.070 Å, c = 4.034 Å, α = 90.00°, β = 90.00° and γ = 90.00°. The inequivalent atoms are Mg at (0.141, 0.227, 0.000), Pd at (0.000, 0.000, 0.000), Pd at (0.047, 0.808, 0.500) and Pt at (0.085, 0.612, 0.000).

---

(7)
# MgPdPt4

A geometry-optimized MgPdPt4 structure (PBE, Alexandria via LeMat-Bulk).

The excess energy over the best structure of this formula in the dataset is 126 meV/atom. The calculation puts the magnetization at 0.00 Bohr magnetons per cell.

It has space group F-43m (No. 216), with a = 7.440 Å, b = 7.440 Å, c = 7.440 Å, α = 90.00°, β = 90.00° and γ = 90.00°. The inequivalent atoms are Mg at (0.000, 0.000, 0.000), Pd at (0.250, 0.250, 0.250) and Pt at (0.125, 0.125, 0.625).

---

(8)
# MgPd2Pt4

A geometry-optimized MgPd2Pt4 structure (PBE, Alexandria via LeMat-Bulk).

For the total energy, the calculation gives -76.81 eV/cell. The calculation puts the magnetization at 0.00 Bohr magnetons per cell.

It has space group C2/m (No. 12), with a = 8.759 Å, b = 3.990 Å, c = 6.327 Å, α = 90.00°, β = 99.48° and γ = 90.00°. The inequivalent atoms are Mg at (0.000, 0.000, 0.000), Pd at (0.212, 0.500, 0.140), Pt at (0.072, 0.500, 0.713) and Pt at (0.143, 0.000, 0.425).

---

(9)
# Mg3PdPt12

A geometry-optimized Mg3PdPt12 structure (PBE, Alexandria via LeMat-Bulk).

For the total energy, the calculation gives -89.98 eV/cell. The calculation puts the magnetization at 0.00 Bohr magnetons per cell.

It has space group P4/mmm (No. 123), with a = 3.945 Å, b = 3.945 Å, c = 15.956 Å, α = 90.00°, β = 90.00° and γ = 90.00°. The inequivalent atoms are Mg at (0.000, 0.000, 0.000), Mg at (0.000, 0.000, 0.249), Pd at (0.000, 0.000, 0.500), Pt at (0.000, 0.500, 0.124), Pt at (0.000, 0.500, 0.373), Pt at (0.500, 0.500, 0.000), Pt at (0.500, 0.500, 0.249) and Pt at (0.500, 0.500, 0.500).

---

(10)
# Mg2Pd3Pt3

A geometry-optimized Mg2Pd3Pt3 structure (PBE, Alexandria via LeMat-Bulk).

For the total energy, the calculation gives -41.17 eV/cell. The calculation puts the magnetization at 0.00 Bohr magnetons per cell.

It has space group Pmmm (No. 47), with a = 3.956 Å, b = 4.007 Å, c = 7.853 Å, α = 90.00°, β = 90.00° and γ = 90.00°. The inequivalent atoms are Mg at (0.000, 0.000, 0.250), Pd at (0.000, 0.500, 0.000), Pd at (0.500, 0.000, 0.000), Pd at (0.500, 0.000, 0.500), Pt at (0.000, 0.500, 0.500) and Pt at (0.500, 0.500, 0.250).

---

(11)
# MgPd5Pt5

A geometry-optimized MgPd5Pt5 structure (PBE, Alexandria via LeMat-Bulk).

For the total energy, the calculation gives -58.92 eV/cell. The calculation puts the magnetization at 0.00 Bohr magnetons per cell.

It has space group P1 (No. 1), with a = 5.106 Å, b = 5.166 Å, c = 6.869 Å, α = 98.18°, β = 96.98° and γ = 95.09°. The inequivalent atoms are Mg at (0.000, 0.000, 0.000), Pd at (0.234, 0.195, 0.695), Pd at (0.329, 0.600, 0.987), Pd at (0.522, 0.123, 0.046), Pd at (0.831, 0.106, 0.396), Pd at (0.871, 0.563, 0.192), Pt at (0.055, 0.663, 0.591), Pt at (0.308, 0.918, 0.337), Pt at (0.421, 0.437, 0.377), Pt at (0.602, 0.831, 0.695) and Pt at (0.765, 0.372, 0.788).

---

(12)
# Mg3Pd2Pt2

A geometry-optimized Mg3Pd2Pt2 structure (PBE, Alexandria via LeMat-Bulk).

For the total energy, the calculation gives -31.89 eV/cell. The calculation puts the magnetization at 0.00 Bohr magnetons per cell.

It has space group P-1 (No. 2), with a = 4.417 Å, b = 4.459 Å, c = 6.986 Å, α = 107.92°, β = 90.09° and γ = 119.63°. The inequivalent atoms are Mg at (0.000, 0.000, 0.000), Mg at (0.426, 0.851, 0.281), Pd at (0.286, 0.572, 0.856) and Pt at (0.136, 0.272, 0.411).

---

(13)
# MgPd6Pt3

A geometry-optimized MgPd6Pt3 structure (PBE, Alexandria via LeMat-Bulk).

The excess energy over the best structure of this formula in the dataset is 124 meV/atom. The calculation puts the magnetization at 0.00 Bohr magnetons per cell.

It has space group P2_1/c (No. 14), with a = 6.811 Å, b = 6.712 Å, c = 9.245 Å, α = 90.00°, β = 128.33° and γ = 90.00°. The inequivalent atoms are Mg at (0.000, 0.000, 0.000), Pd at (0.107, 0.100, 0.654), Pd at (0.239, 0.687, 0.808), Pd at (0.497, 0.636, 0.203), Pt at (0.247, 0.176, 0.446) and Pt at (0.500, 0.000, 0.000).

---

(14)
# Mg3Pd2Pt

A geometry-optimized Mg3Pd2Pt structure (PBE, Alexandria via LeMat-Bulk).

The excess energy over the best structure of this formula in the dataset is 0 meV/atom. The calculation puts the magnetization at 0.00 Bohr magnetons per cell.

It has space group P-3m1 (No. 164), with a = 4.4917 Å, b = 4.4917 Å, c = 10.9870 Å, α = 90.00°, β = 90.00° and γ = 120.00°. The inequivalent atoms are Mg at (0.0000, 0.0000, 0.2490), Mg at (0.3333, 0.6667, 0.4156), Mg at (0.3333, 0.6667, 0.9170), Pd at (0.0000, 0.0000, 0.0000), Pd at (0.0000, 0.0000, 0.5000), Pd at (0.3333, 0.6667, 0.6659) and Pt at (0.3333, 0.6667, 0.1673).

---

(15)
# Mg4Pd2Pt

A geometry-optimized Mg4Pd2Pt structure (PBE, Alexandria via LeMat-Bulk).

The excess energy over the best structure of this formula in the dataset is 92 meV/atom. The calculation puts the magnetization at 0.00 Bohr magnetons per cell.

It has space group I-42d (No. 122), with a = 7.942 Å, b = 7.942 Å, c = 7.924 Å, α = 90.00°, β = 90.00° and γ = 90.00°. The inequivalent atoms are Mg at (0.076, 0.675, 0.456), Pd at (0.116, 0.750, 0.125) and Pt at (0.000, 0.000, 0.500).

---

(16)
# Mg2PdPt2

A geometry-optimized Mg2PdPt2 structure (PBE, Alexandria via LeMat-Bulk).

The excess energy over the best structure of this formula in the dataset is 45 meV/atom. The calculation puts the magnetization at 0.00 Bohr magnetons per cell.

It has space group P4/mbm (No. 127), with a = 7.552 Å, b = 7.552 Å, c = 2.890 Å, α = 90.00°, β = 90.00° and γ = 90.00°. The inequivalent atoms are Mg at (0.150, 0.350, 0.000), Pd at (0.000, 0.000, 0.000) and Pt at (0.148, 0.648, 0.500).

---

(17)
# MgPd4Pt3

A geometry-optimized MgPd4Pt3 structure (PBE, Alexandria via LeMat-Bulk).

For the total energy, the calculation gives -85.20 eV/cell. The calculation puts the magnetization at 0.00 Bohr magnetons per cell.

It has space group C2/m (No. 12), with a = 8.746 Å, b = 4.009 Å, c = 8.003 Å, α = 90.00°, β = 117.64° and γ = 90.00°. The inequivalent atoms are Mg at (0.000, 0.000, 0.000), Pd at (0.247, 0.000, 0.373), Pd at (0.248, 0.500, 0.125), Pt at (0.000, 0.000, 0.500) and Pt at (0.002, 0.500, 0.750).

---

(18)
# MgPd4Pt5

A geometry-optimized MgPd4Pt5 structure (PBE, Alexandria via LeMat-Bulk).

For the total energy, the calculation gives -105.99 eV/cell. The calculation puts the magnetization at 0.00 Bohr magnetons per cell.

It has space group C2/m (No. 12), with a = 9.611 Å, b = 4.340 Å, c = 8.062 Å, α = 90.00°, β = 90.10° and γ = 90.00°. The inequivalent atoms are Mg at (0.000, 0.000, 0.000), Pd at (0.038, 0.500, 0.756), Pd at (0.177, 0.000, 0.248), Pt at (0.000, 0.000, 0.500), Pt at (0.177, 0.500, 0.455) and Pt at (0.190, 0.500, 0.057).

---

(19)
# Mg6Pd5Pt

A geometry-optimized Mg6Pd5Pt structure (PBE, Alexandria via LeMat-Bulk).

For the total energy, the calculation gives -50.75 eV/cell. The calculation puts the magnetization at 0.00 Bohr magnetons per cell.

It has space group P2/m (No. 10), with a = 4.422 Å, b = 6.582 Å, c = 6.962 Å, α = 90.00°, β = 108.07° and γ = 90.00°. The inequivalent atoms are Mg at (0.000, 0.248, 0.000), Mg at (0.334, 0.249, 0.668), Pd at (0.167, 0.000, 0.334), Pd at (0.167, 0.500, 0.334), Pd at (0.500, 0.500, 0.000) and Pt at (0.500, 0.000, 0.000).

---

(20)
# MgPd8Pt3

A geometry-optimized MgPd8Pt3 structure (PBE, Alexandria via LeMat-Bulk).

For the total energy, the calculation gives -109.20 eV/cell. The calculation puts the magnetization at 0.00 Bohr magnetons per cell.

It has space group I-42m (No. 121), with a = 6.918 Å, b = 6.918 Å, c = 9.328 Å, α = 90.00°, β = 90.00° and γ = 90.00°. The inequivalent atoms are Mg at (0.000, 0.000, 0.000), Pd at (0.134, 0.134, 0.243), Pd at (0.241, 0.241, 0.987), Pt at (0.000, 0.000, 0.500) and Pt at (0.000, 0.500, 0.250).